No. 1
Below is BaSr2Ac after structural relaxation, with properties calculated at the PBE-GGA level.

Lattice parameters (Å, degrees): 4.6027 4.6027 10.0820 90.00 90.00 90.00
With the nearest neighbours (Å) after each atom.
Positions (direct):
Sr (0.0000, 0.0000, 0.7671)  4 Ac 4.01, 4 Ba 4.22
Sr (0.0000, 0.0000, 0.2329)  4 Ac 4.01, 4 Ba 4.22
Ba (0.5000, 0.5000, 0.5000)  8 Sr 4.22, 4 Ba 4.60
Ac (0.5000, 0.5000, 0.0000)  8 Sr 4.01

Summary:
DOS at the Fermi energy: 1.225 states/eV/atom
E above lowest polymorph: 0.022 eV per atom
E_tot: -9.12 eV/f.u.
formation energy from the elements: 0.069 eV per atom

***

No. 2
Below is Cs2Tl3Se4 after structural relaxation, with properties calculated at the PBE-GGA level.

Lattice parameters (Å, degrees): 8.1439 8.3693 9.8298 90.00 114.47 90.00
With the nearest neighbours (Å) after each atom.
Positions (direct):
Tl (0.0385, 0.7500, 0.5771)  5 Se 2.91-3.16
Tl (0.0000, 0.0000, 0.0000)  4 Se 3.05
Tl (0.4615, 0.2500, 0.4229)  5 Se 2.91-3.16
Tl (0.5385, 0.7500, 0.5771)  5 Se 2.91-3.16
Tl (0.9615, 0.2500, 0.4229)  5 Se 2.91-3.16
Tl (0.5000, 0.5000, 0.0000)  4 Se 3.05
Se (0.7011, 0.7500, 0.9021)  3 Tl 2.91-3.05
Se (0.2989, 0.2500, 0.0979)  3 Tl 2.91-3.05
Se (0.7099, 0.5392, 0.4199)  4 Tl 3.04-3.16
Se (0.2011, 0.7500, 0.9021)  3 Tl 2.91-3.05
Se (0.2901, 0.4608, 0.5801)  4 Tl 3.04-3.16
Se (0.7901, 0.0392, 0.5801)  4 Tl 3.04-3.16
Se (0.7989, 0.2500, 0.0979)  3 Tl 2.91-3.05
Se (0.2099, 0.9608, 0.4199)  4 Tl 3.04-3.16
Cs (0.3988, 0.0903, 0.7977)  6 Se 3.55-3.66, 1 Tl 3.88, 1 Cs 3.92
Cs (0.8988, 0.4097, 0.7977)  6 Se 3.55-3.66, 1 Tl 3.88, 1 Cs 3.92
Cs (0.6012, 0.9097, 0.2023)  6 Se 3.55-3.66, 1 Tl 3.88, 1 Cs 3.92
Cs (0.1012, 0.5903, 0.2023)  6 Se 3.55-3.66, 1 Tl 3.88, 1 Cs 3.92

Summary:
formation energy from raw total energies: -0.55 eV/atom
DOS at the Fermi energy: 0.407 states/eV/atom
E_tot: -27.66 eV/f.u.

***

No. 3
Below is MnCoSb3 after structural relaxation, with properties calculated at the PBE-GGA level.

Lattice parameters (Å, degrees): 4.8841 4.8841 4.8841 90.00 90.00 90.00
With the nearest neighbours (Å) after each atom.
Positions (direct):
Sb (0.5000, 0.0000, 0.0000)  2 Co 2.44
Sb (0.0000, 0.0000, 0.5000)  2 Co 2.44
Sb (0.0000, 0.5000, 0.0000)  2 Co 2.44
Co (0.0000, 0.0000, 0.0000)  6 Sb 2.44
Mn (0.5000, 0.5000, 0.5000)  12 Sb 3.45

Summary:
formation energy from raw total energies: 0.98 eV/atom
DOS at the Fermi energy: 1.086 states/eV/atom
E above lowest polymorph: 0.109 eV per atom
E_tot: -23.72 eV/f.u.

***

No. 4
Below is Sm3Ni6Sb5 after structural relaxation, with properties calculated at the PBE-GGA level.

Lattice parameters (Å, degrees): 4.2822 9.8883 12.8061 90.00 90.00 90.00
With the nearest neighbours (Å) after each atom.
Positions (direct):
Sb (0.5000, 0.1512, 0.5000)  4 Ni 2.55-2.56
Sb (0.5000, 0.4850, 0.6326)  5 Ni 2.54-2.74
Sb (0.5000, 0.4850, 0.3674)  5 Ni 2.54-2.74
Sb (0.0000, 0.8652, 0.6665)  5 Ni 2.52-2.56
Sb (0.0000, 0.8652, 0.3335)  5 Ni 2.52-2.56
Sb (0.0000, 0.5150, 0.8674)  5 Ni 2.54-2.74
Sb (0.5000, 0.1348, 0.1665)  5 Ni 2.52-2.56
Sb (0.0000, 0.5150, 0.1326)  5 Ni 2.54-2.74
Sb (0.5000, 0.1348, 0.8335)  5 Ni 2.52-2.56
Sb (0.0000, 0.8488, 0.0000)  4 Ni 2.55-2.56
Ni (0.0000, 0.5007, 0.5000)  2 Ni 2.51, 4 Sb 2.74
Ni (0.0000, 0.9976, 0.8376)  4 Sb 2.54-2.55
Ni (0.0000, 0.6107, 0.6766)  1 Ni 2.51, 4 Sb 2.52-2.62
Ni (0.0000, 0.9976, 0.1624)  4 Sb 2.54-2.55
Ni (0.0000, 0.6107, 0.3234)  1 Ni 2.51, 4 Sb 2.52-2.62
Ni (0.5000, 0.3893, 0.1766)  1 Ni 2.51, 4 Sb 2.52-2.62
Ni (0.5000, 0.4993, 0.0000)  2 Ni 2.51, 4 Sb 2.74
Ni (0.5000, 0.9915, 0.0000)  4 Sb 2.56
Ni (0.5000, 0.3893, 0.8234)  1 Ni 2.51, 4 Sb 2.52-2.62
Ni (0.0000, 0.0085, 0.5000)  4 Sb 2.56
Ni (0.5000, 0.0024, 0.3376)  4 Sb 2.54-2.55
Ni (0.5000, 0.0024, 0.6624)  4 Sb 2.54-2.55
Sm (0.5000, 0.7508, 0.1719)  6 Sb 3.19-3.22, 7 Ni 3.20-3.32
Sm (0.0000, 0.2394, 0.0000)  10 Ni 3.17-3.45, 6 Sb 3.19-3.21
Sm (0.0000, 0.2492, 0.6719)  6 Sb 3.19-3.22, 7 Ni 3.20-3.32
Sm (0.5000, 0.7508, 0.8281)  6 Sb 3.19-3.22, 7 Ni 3.20-3.32
Sm (0.0000, 0.2492, 0.3281)  6 Sb 3.19-3.22, 7 Ni 3.20-3.32
Sm (0.5000, 0.7606, 0.5000)  10 Ni 3.17-3.45, 6 Sb 3.19-3.21

Summary:
formation energy from raw total energies: -0.65 eV/atom
DOS at the Fermi energy: 0.595 states/eV/atom
E_tot: -78.58 eV/f.u.

***

No. 5
Below is Mg7InHg12 after structural relaxation, with properties calculated at the PBE-GGA level.

Lattice parameters (Å, degrees): 9.0887 9.0887 9.0887 109.47 109.47 109.47
With the nearest neighbours (Å) after each atom.
Positions (direct):
Mg (0.5000, 0.5000, 0.0000)  4 Hg 2.85
Mg (0.0000, 0.0000, 0.5000)  6 Hg 2.81
Mg (0.0000, 0.5000, 0.5000)  4 Hg 2.85
Mg (0.0000, 0.5000, 0.0000)  6 Hg 2.81
Mg (0.5000, 0.0000, 0.5000)  4 Hg 2.85
Mg (0.5000, 0.5000, 0.5000)  6 Hg 2.81
Mg (0.5000, 0.0000, 0.0000)  6 Hg 2.81
Hg (0.8416, 0.5616, 0.7200)  3 Mg 2.81-2.85
Hg (0.1215, 0.2800, 0.8416)  3 Mg 2.81-2.85
Hg (0.4384, 0.2800, 0.1584)  3 Mg 2.81-2.85
Hg (0.2800, 0.8416, 0.1215)  3 Mg 2.81-2.85
Hg (0.2800, 0.1584, 0.4384)  3 Mg 2.81-2.85
Hg (0.8416, 0.1215, 0.2800)  3 Mg 2.81-2.85
Hg (0.5616, 0.7200, 0.8416)  3 Mg 2.81-2.85
Hg (0.7200, 0.8416, 0.5616)  3 Mg 2.81-2.85
Hg (0.1584, 0.4384, 0.2800)  3 Mg 2.81-2.85
Hg (0.1584, 0.8785, 0.7200)  3 Mg 2.81-2.85
Hg (0.8785, 0.7200, 0.1584)  3 Mg 2.81-2.85
Hg (0.7200, 0.1584, 0.8785)  3 Mg 2.81-2.85
In (0.0000, 0.0000, 0.0000)  12 Hg 3.38

Summary:
DOS at the Fermi energy: 0.373 states/eV/atom
E_tot: -16.55 eV/f.u.
formation energy from the elements: 0.049 eV per atom

***

No. 6
Below is MgGe5I12 after structural relaxation, with properties calculated at the PBE-GGA level.

Lattice parameters (Å, degrees): 7.4180 7.4194 15.4610 89.99 89.99 60.01
With the nearest neighbours (Å) after each atom.
Positions (direct):
I (0.5001, 0.3333, 0.6134)  3 Ge 3.03
I (0.0001, 0.3247, 0.8893)  1 Mg 2.95, 2 Ge 3.03
I (0.8334, 0.0000, 0.3867)  3 Ge 3.03
I (0.3248, 0.6753, 0.8893)  1 Mg 2.95, 2 Ge 3.03
I (0.1666, 0.3333, 0.3866)  3 Ge 3.03
I (0.8334, 0.6667, 0.6134)  3 Ge 3.03
I (0.1666, 0.0000, 0.6133)  3 Ge 3.03
I (0.6752, 0.3247, 0.1107)  1 Mg 2.95, 2 Ge 3.03
I (0.6754, 0.0000, 0.8894)  1 Mg 2.95, 2 Ge 3.03
I (0.3246, 0.0000, 0.1106)  1 Mg 2.95, 2 Ge 3.03
I (0.4999, 0.6667, 0.3866)  3 Ge 3.03
I (0.9999, 0.6753, 0.1107)  1 Mg 2.95, 2 Ge 3.03
Ge (0.8332, 0.3336, 0.5000)  6 I 3.03
Ge (0.6668, 0.6666, 0.0000)  6 I 3.03
Ge (0.5000, 0.0000, 0.5000)  6 I 3.03
Ge (0.1668, 0.6665, 0.5000)  6 I 3.03
Ge (0.3333, 0.3334, 0.0000)  6 I 3.03
Mg (0.0000, 0.0000, 0.0000)  6 I 2.95

Summary:
formation energy from raw total energies: -0.44 eV/atom
DOS at the Fermi energy: 0.000 states/eV/atom
E_tot: -51.28 eV/f.u.

***

No. 7
Below is Cs2HoTlI6 after structural relaxation, with properties calculated at the PBE-GGA level.

Lattice parameters (Å, degrees): 8.7236 9.1945 12.6360 90.00 89.75 90.00
With the nearest neighbours (Å) after each atom.
Positions (direct):
Tl (0.5000, 0.0000, 0.0000)  6 I 3.48-3.53
Tl (0.0000, 0.5000, 0.5000)  6 I 3.48-3.53
I (0.9131, 0.5153, 0.2321)  1 Ho 3.03
I (0.6771, 0.2790, 0.5429)  1 Ho 3.04
I (0.4131, 0.9847, 0.7321)  1 Ho 3.03
I (0.7148, 0.3196, 0.9575)  1 Ho 3.04
I (0.2148, 0.1804, 0.4575)  1 Ho 3.04
I (0.7852, 0.8196, 0.5425)  1 Ho 3.04
I (0.0869, 0.4847, 0.7679)  1 Ho 3.03
I (0.8229, 0.7790, 0.9571)  1 Ho 3.04
I (0.1771, 0.2210, 0.0429)  1 Ho 3.04
I (0.3229, 0.7210, 0.4571)  1 Ho 3.04
I (0.5869, 0.0153, 0.2679)  1 Ho 3.03
I (0.2852, 0.6804, 0.0425)  1 Ho 3.04
Cs (0.9744, 0.0746, 0.7512)  8 I 3.90-4.36
Cs (0.4744, 0.4254, 0.2512)  8 I 3.90-4.36
Cs (0.5256, 0.5746, 0.7488)  8 I 3.90-4.36
Cs (0.0256, 0.9254, 0.2488)  8 I 3.90-4.36
Ho (0.0000, 0.5000, 0.0000)  6 I 3.03-3.04
Ho (0.5000, 0.0000, 0.5000)  6 I 3.03-3.04

Summary:
formation energy from raw total energies: -1.34 eV/atom
DOS at the Fermi energy: 0.000 states/eV/atom
E_tot: -31.32 eV/f.u.

***

No. 8
Below is RbLiNdCl5 after structural relaxation, with properties calculated at the PBE-GGA level.

Lattice parameters (Å, degrees): 7.6879 7.6879 10.3377 103.83 103.83 107.07
With the nearest neighbours (Å) after each atom.
Positions (direct):
Li (0.3097, 0.6903, 0.7500)  4 Cl 2.42-2.43
Li (0.6903, 0.3097, 0.2500)  4 Cl 2.42-2.43
Cl (0.9035, 0.3057, 0.1124)  1 Li 2.42
Cl (0.6943, 0.0965, 0.3876)  1 Li 2.42
Cl (0.3771, 0.2439, 0.0823)  1 Li 2.43
Cl (0.9202, 0.0798, 0.7500)  2 Nd 2.77
Cl (0.0798, 0.9202, 0.2500)  2 Nd 2.77
Cl (0.7561, 0.6229, 0.4177)  1 Li 2.43
Cl (0.3057, 0.9035, 0.6124)  1 Li 2.42
Cl (0.0965, 0.6943, 0.8876)  1 Li 2.42
Cl (0.2439, 0.3771, 0.5823)  1 Li 2.43
Cl (0.6229, 0.7561, 0.9177)  1 Li 2.43
Rb (0.3456, 0.6544, 0.2500)  5 Cl 3.29-3.36
Rb (0.6544, 0.3456, 0.7500)  5 Cl 3.29-3.36
Nd (0.0000, 0.0000, 0.5000)  6 Cl 2.74-2.77
Nd (0.0000, 0.0000, 0.0000)  6 Cl 2.74-2.77

Summary:
formation energy from raw total energies: -2.09 eV/atom
DOS at the Fermi energy: 0.000 states/eV/atom
E_tot: -33.64 eV/f.u.

***

No. 9
Below is La2MgHPd after structural relaxation, with properties calculated at the PBE-GGA level.

Lattice parameters (Å, degrees): 5.3715 5.3715 3.8895 90.00 90.00 90.00
With the nearest neighbours (Å) after each atom.
Positions (direct):
La (0.0000, 0.5000, 0.0000)  2 H 2.69
La (0.5000, 0.0000, 0.0000)  2 H 2.69
H (0.0000, 0.0000, 0.0000)  2 Pd 1.94
Pd (0.0000, 0.0000, 0.5000)  2 H 1.94
Mg (0.5000, 0.5000, 0.5000)  8 La 3.32

Summary:
DOS at the Fermi energy: 0.631 states/eV/atom
E above lowest polymorph: 0.002 eV per atom
E_tot: -21.90 eV/f.u.

***

No. 10
Below is LiCaAs3 after structural relaxation, with properties calculated at the PBE-GGA level.

Lattice parameters (Å, degrees): 5.3833 5.3833 5.3833 90.00 90.00 90.00
With the nearest neighbours (Å) after each atom.
Positions (direct):
Li (0.5000, 0.5000, 0.5000)  12 As 3.81
As (0.5000, 0.0000, 0.0000)  2 Ca 2.69
As (0.0000, 0.0000, 0.5000)  2 Ca 2.69
As (0.0000, 0.5000, 0.0000)  2 Ca 2.69
Ca (0.0000, 0.0000, 0.0000)  6 As 2.69

Summary:
DOS at the Fermi energy: 0.414 states/eV/atom
E above lowest polymorph: 0.629 eV per atom
E_tot: -15.60 eV/f.u.
formation energy from the elements: 0.453 eV per atom

***

No. 11
Below is ZnNiAsBr2 after structural relaxation, with properties calculated at the PBE-GGA level.

Lattice parameters (Å, degrees): 5.0814 5.0814 4.5629 90.00 90.00 90.00
With the nearest neighbours (Å) after each atom.
Positions (direct):
Zn (0.5000, 0.5000, 0.5000)  8 Br 3.41, 4 As 3.59
Br (0.0000, 0.5000, 0.0000)  2 Ni 2.54
Br (0.5000, 0.0000, 0.0000)  2 Ni 2.54
As (0.0000, 0.0000, 0.5000)  2 Ni 2.28
Ni (0.0000, 0.0000, 0.0000)  2 As 2.28, 4 Br 2.54

Summary:
formation energy from raw total energies: 0.26 eV/atom
DOS at the Fermi energy: 0.824 states/eV/atom
E above lowest polymorph: 0.000 eV per atom
E_tot: -13.76 eV/f.u.

***

No. 12
Below is CeSmIn2 after structural relaxation, with properties calculated at the PBE-GGA level.

Lattice parameters (Å, degrees): 4.5444 4.9678 4.9678 90.00 90.00 90.00
With the nearest neighbours (Å) after each atom.
Positions (direct):
Sm (0.5000, 0.0000, 0.0000)  8 In 3.37, 4 Ce 3.51
In (0.0000, 0.5000, 0.0000)  4 Ce 3.37, 4 Sm 3.37, 4 In 3.51
In (0.0000, 0.0000, 0.5000)  4 Ce 3.37, 4 Sm 3.37, 4 In 3.51
Ce (0.5000, 0.5000, 0.5000)  8 In 3.37, 4 Sm 3.51

Summary:
DOS at the Fermi energy: 2.246 states/eV/atom
E_tot: -17.72 eV/f.u.
formation energy from the elements: -0.397 eV per atom

***

Question: Among the records above, which one has the highest DOS at the Fermi energy?
Answer: CeSmIn2